RbCO2 | PBE | optimized geometry

Lattice parameters (Å, degrees): 3.8403 3.8403 18.0168 90.00 90.00 120.00
Space group R-3m (No. 166, hexagonal axes)
Inequivalent atoms, fractional coordinates:
Rb: 0.0000 0.0000 0.0000 [3 per cell]
C: 0.0000 0.0000 0.5000 [3 per cell]
O: 0.0000 0.0000 0.4327 [6 per cell]

Results
The calculation puts the uncorrected energy at -0.4251 Ry per atom. The calculated density comes out at 2.80 g/cm³. The value obtained for the formation energy from raw total energies is -0.757 eV/atom. The density of states at the Fermi level is 9.46 states/eV/cell. The value obtained for the calculated volume is 19.18 Å³/atom.


ZrTi2Cu | PBE | optimized geometry

Lattice parameters (Å, degrees): 3.841 3.841 19.512 90.00 90.00 90.00
Space group I-42d (No. 122)
Inequivalent atoms, fractional coordinates:
Zr: 0.000 0.000 0.000 [4 per cell]
Ti: 0.243 0.250 0.625 [8 per cell]
Cu: 0.000 0.000 0.500 [4 per cell]

Results
The calculation puts the uncorrected energy at -0.4989 Ry per atom. The calculated density comes out at 5.78 g/cm³. As for the energy of formation: 0.32 eV per atom. The density of states at the Fermi level is 31.03 states/eV/cell. The value obtained for the calculated volume is 17.99 Å³/atom. For the offset from the most stable computed form, the calculation gives 0.338 eV per atom.


Dy2MgSi2Pd5 | PBE | optimized geometry

Lattice parameters (Å, degrees): 9.995 9.995 3.589 90.00 90.00 90.00
Space group P4/mbm (No. 127)
Inequivalent atoms, fractional coordinates:
Dy: 0.174 0.326 0.000 [4 per cell]
Mg: 0.000 0.000 0.000 [2 per cell]
Si: 0.126 0.626 0.000 [4 per cell]
Pd: 0.000 0.500 0.500 [2 per cell]
Pd: 0.061 0.785 0.500 [8 per cell]

Results
The calculation puts the uncorrected energy at -0.4062 Ry per atom. The calculated density comes out at 8.68 g/cm³. The value obtained for the formation energy from raw total energies is -0.765 eV/atom. The density of states at the Fermi level is 16.13 states/eV/cell. The value obtained for the calculated volume is 17.93 Å³/atom.